Entry from Alexandria: Ti2BeSnTe after structural relaxation (PBE).

- SG: P4/mmm (123)
- Uncorrected formation energy: 0.245 eV per atom
- Electronic total energy: -5.09 eV/atom

Cell lengths 4.798, 4.261, 4.798 Å; angles 90.00, 90.00, 90.00 degrees
Site moments in Bohr magnetons follow the coordinates.
Fractional positions:
1 Be 0.000 0.000 0.000  0.00
2 Ti 0.000 0.000 0.500  0.73
3 Ti 0.500 0.000 0.000  0.56
4 Sn 0.000 0.500 0.000  0.00
5 Te 0.500 0.500 0.500  -0.02



Entry from Alexandria: LiDyTmAu after structural relaxation (PBE).

- SG: F-43m (216)
- Formation enthalpy at 0 K: -418 meV per atom
- Electronic total energy: -3.98 eV/atom

Cell lengths 5.063, 5.063, 5.063 Å; angles 60.00, 60.00, 60.00 degrees
Fractional positions:
1 Dy 0.250 0.250 0.250
2 Li 0.500 0.500 0.500
3 Tm 0.750 0.750 0.750
4 Au 0.000 0.000 0.000



Entry from Alexandria: BaPbSeCl2 after structural relaxation (PBE).

- SG: Cmcm (63)
- Uncorrected formation energy: -1.531 eV per atom
- Electronic total energy: -4.09 eV/atom

Cell lengths 4.479, 6.794, 11.165 Å; angles 90.00, 90.00, 109.25 degrees
Fractional positions:
1 Se 0.930 0.861 0.750
2 Se 0.070 0.139 0.250
3 Cl 0.652 0.304 0.938
4 Cl 0.348 0.696 0.062
5 Cl 0.348 0.696 0.438
6 Cl 0.652 0.304 0.562
7 Ba 0.252 0.503 0.750
8 Ba 0.748 0.497 0.250
9 Pb 0.000 0.000 0.000
10 Pb 0.000 0.000 0.500



Entry from Alexandria: Tb2TlTe after structural relaxation (PBE).

- SG: R-3m (166)
- Polymorph energy (0 for the lowest one): 42 meV/atom
- Uncorrected formation energy: -0.823 eV per atom
- Electronic total energy: -4.52 eV/atom

Cell lengths 4.205, 4.205, 8.219 Å; angles 89.96, 104.85, 120.03 degrees
Fractional positions:
1 Tl 0.000 0.000 0.000
2 Te 0.000 0.500 0.500
3 Tb 0.502 0.751 0.253
4 Tb 0.498 0.249 0.747



Number 3 is which compound? BaPbSeCl2



electronic total energy of number 1 (Ti2BeSnTe)? -5.09 eV/atom